! CoCuPbF6 (PBE with a Hubbard U, optimized geometry); values from VASP
! Calculated total energy, eV/atom: -4.6808
! Magnetic moment, μB/f.u.: 4.0
&SYSTEM
  ibrav = 0, nat = 18, ntyp = 4
/
ATOMIC_SPECIES
Co 58.93 Co.upf
F 19.00 F.upf
Pb 207.20 Pb.upf
Cu 63.55 Cu.upf
ATOMIC_POSITIONS angstrom
Co 0.0000 3.1336 2.6250
Co 2.7137 1.5668 7.8751
F -0.7436 4.6990 1.5147
F 0.9839 1.7068 3.7353
F 3.4573 0.0013 8.9854
F 1.7275 2.9948 1.5147
F -0.9839 1.7068 1.5147
F 0.7436 4.6990 3.7353
F 1.7298 2.9935 6.7648
F -1.7275 2.9948 3.7353
F 3.6977 2.9935 8.9854
F 0.9862 1.7055 8.9854
F 4.4413 1.7055 6.7648
F 1.9701 0.0013 6.7648
Pb 0.0000 0.0000 0.0000
Pb 0.0000 0.0000 5.2500
Cu 2.7137 1.5668 2.6250
Cu 0.0000 3.1336 7.8751
CELL_PARAMETERS angstrom
5.4275 0.0000 0.0000
-2.7137 4.7003 0.0000
0.0000 0.0000 10.5001